No. 1
A geometry-optimized Ce2PSe structure. Source: the Alexandria database, functional PBE.

a b c (Å): 4.0956 4.0956 14.1988
angles (deg): 90.00 90.00 120.00
Last column: nearest neighbours and their distance in Å.
Space group P6_3/mmc (No. 194)
Inequivalent atoms, fractional coordinates:
Ce: 0.3333 0.6667 0.1127 x4  3 P 2.86, 3 Se 3.06
P: 0.0000 0.0000 0.0000 x2  6 Ce 2.86
Se: 0.3333 0.6667 0.7500 x2  6 Ce 3.06

Polymorph energy (0 for the lowest one): 60.3 meV per atom

No. 2
A geometry-optimized Ce3P2Se structure. Source: the Alexandria database, functional PBE.

a b c (Å): 4.1303 4.1303 17.5095
angles (deg): 90.00 90.00 90.00
Last column: nearest neighbours and their distance in Å.
Space group I4/mmm (No. 139)
Inequivalent atoms, fractional coordinates:
Ce: 0.0000 0.0000 0.0000 x2  2 P 2.90, 4 Se 2.92
Ce: 0.0000 0.0000 0.3297 x4  5 P 2.88-2.92, 1 Se 2.98
P: 0.0000 0.0000 0.1655 x4  6 Ce 2.88-2.92
Se: 0.0000 0.0000 0.5000 x2  6 Ce 2.92-2.98

Polymorph energy (0 for the lowest one): 0.0 meV per atom

No. 3
A geometry-optimized CeP2Se6 structure. Source: the Alexandria database, functional PBE.

a b c (Å): 13.5561 10.4158 8.0965
angles (deg): 90.00 119.40 90.00
Last column: nearest neighbours and their distance in Å.
Space group C2/c (No. 15)
Inequivalent atoms, fractional coordinates:
Ce: 0.0000 0.1690 0.2500 x4  8 Se 2.96-3.18
P: 0.2029 0.4510 0.2001 x8  3 Se 2.21-2.28
Se: 0.1048 0.0650 0.6568 x8  1 P 2.28
Se: 0.1235 0.2674 0.0604 x8  1 P 2.21
Se: 0.1642 0.4023 0.4676 x8  2 P 2.28-2.52

No. 4
A geometry-optimized Ce4P3Se structure. Source: the Alexandria database, functional PBE.

a b c (Å): 4.1156 5.8273 8.2589
angles (deg): 90.00 90.00 90.00
Last column: nearest neighbours and their distance in Å.
Space group Pmmm (No. 47)
Inequivalent atoms, fractional coordinates:
Ce: 0.0000 0.0000 0.0000 x1  6 P 2.91-2.92
Ce: 0.0000 0.0000 0.5000 x1  4 P 2.91, 2 Se 2.91
Ce: 0.5000 0.5000 0.2397 x2  4 P 2.86-2.92, 2 Se 2.98
P: 0.0000 0.5000 0.0000 x1  6 Ce 2.86-2.91
P: 0.5000 0.0000 0.2509 x2  6 Ce 2.91-2.92
Se: 0.0000 0.5000 0.5000 x1  6 Ce 2.91-2.98

No. 5
A geometry-optimized Ce4PSe3 structure. Source: the Alexandria database, functional PBE.

a b c (Å): 8.3804 11.8082 4.1629
angles (deg): 90.00 90.00 90.00
Last column: nearest neighbours and their distance in Å.
Space group Cmmm (No. 65)
Inequivalent atoms, fractional coordinates:
Ce: 0.0000 0.2437 0.0000 x4  1 P 2.88, 5 Se 2.95-3.03
Ce: 0.2382 0.0000 0.5000 x4  2 P 2.88, 4 Se 2.95-3.02
P: 0.0000 0.0000 0.0000 x2  6 Ce 2.88
Se: 0.0000 0.5000 0.0000 x2  6 Ce 3.02-3.03
Se: 0.2500 0.2500 0.5000 x4  6 Ce 2.95

No. 6
A geometry-optimized Ce2PSe2 structure. Source: the Alexandria database, functional PBE.

a b c (Å): 8.0355 11.4838 5.7682
angles (deg): 90.00 90.00 90.00
Last column: nearest neighbours and their distance in Å.
Space group Ibam (No. 72)
Inequivalent atoms, fractional coordinates:
Ce: 0.2399 0.1138 0.0000 x8  2 P 2.86, 5 Se 2.97-3.05
P: 0.0000 0.5000 0.2500 x4  4 Ce 2.86, 2 P 2.88
Se: 0.1381 0.1418 0.5000 x8  5 Ce 2.97-3.05

No. 7
A geometry-optimized Ce4SiPSe2 structure. Source: the Alexandria database, functional PBE.

a b c (Å): 7.2324 4.1772 7.2610
angles (deg): 90.00 109.42 90.00
Last column: nearest neighbours and their distance in Å.
Space group P2/m (No. 10)
Inequivalent atoms, fractional coordinates:
Ce: 0.2430 0.0000 0.2370 x2  2 P 2.90, 1 Si 2.92, 3 Se 2.99-3.02
Ce: 0.2507 0.5000 0.7602 x2  1 P 2.90, 2 Si 2.93, 3 Se 2.99-3.01
Si: 0.5000 0.0000 0.0000 x1  6 Ce 2.92-2.93
P: 0.0000 0.5000 0.0000 x1  6 Ce 2.90
Se: 0.0000 0.0000 0.5000 x1  6 Ce 2.99
Se: 0.5000 0.5000 0.5000 x1  6 Ce 3.01-3.02

No. 8
A geometry-optimized Ce6SiP2Se3 structure. Source: the Alexandria database, functional PBE.

a b c (Å): 18.2139 4.1616 8.3618
angles (deg): 90.00 103.65 90.00
Last column: nearest neighbours and their distance in Å.
Space group C2/m (No. 12)
Inequivalent atoms, fractional coordinates:
Ce: 0.0037 0.0000 0.2467 x4  1 P 2.89, 2 Si 2.92, 3 Se 2.98-3.01
Ce: 0.1651 0.5000 0.0928 x4  2 P 2.89, 1 Si 2.92, 3 Se 2.99-3.01
Ce: 0.1700 0.5000 0.5747 x4  3 P 2.88-2.89, 3 Se 3.01
Si: 0.0000 0.5000 0.0000 x2  6 Ce 2.92
P: 0.1673 0.0000 0.3340 x4  6 Ce 2.88-2.89
Se: 0.0000 0.5000 0.5000 x2  6 Ce 2.98-3.01
Se: 0.1660 0.0000 0.8328 x4  6 Ce 2.99-3.01

No. 9
A geometry-optimized CeSmPSe structure. Source: the Alexandria database, functional PBE.

a b c (Å): 4.1290 4.1290 20.5803
angles (deg): 90.00 90.00 120.00
Last column: nearest neighbours and their distance in Å.
Space group R3m (No. 160, hexagonal axes)
Inequivalent atoms, fractional coordinates:
Ce: 0.0000 0.0000 0.0000 x3  3 P 2.87, 3 Se 3.01
Sm: 0.0000 0.0000 0.5116 x3  3 P 2.87, 3 Se 3.01
P: 0.0000 0.0000 0.2555 x3  3 Sm 2.87, 3 Ce 2.87
Se: 0.0000 0.0000 0.7560 x3  3 Sm 3.01, 3 Ce 3.01

No. 10
A geometry-optimized TbCePSe structure. Source: the Alexandria database, functional PBE.

a b c (Å): 4.0887 4.0887 20.4107
angles (deg): 90.00 90.00 120.00
Last column: nearest neighbours and their distance in Å.
Space group R3m (No. 160, hexagonal axes)
Inequivalent atoms, fractional coordinates:
Tb: 0.0000 0.0000 0.0000 x3  3 P 2.81, 3 Se 2.96
Ce: 0.0000 0.0000 0.5120 x3  3 P 2.87, 3 Se 3.01
P: 0.0000 0.0000 0.2583 x3  3 Tb 2.81, 3 Ce 2.87
Se: 0.0000 0.0000 0.7538 x3  3 Tb 2.96, 3 Ce 3.01

No. 11
A geometry-optimized Ce6TeP2Se3 structure. Source: the Alexandria database, functional PBE.

a b c (Å): 18.3580 4.2001 8.4933
angles (deg): 90.00 102.89 90.00
Last column: nearest neighbours and their distance in Å.
Space group C2/m (No. 12)
Inequivalent atoms, fractional coordinates:
Ce: 0.0073 0.0000 0.2684 x4  1 P 2.89, 3 Se 2.90-3.04, 2 Te 3.08
Ce: 0.1702 0.5000 0.5744 x4  3 P 2.89-2.92, 3 Se 3.05-3.06
Ce: 0.1736 0.5000 0.1011 x4  2 P 2.91, 3 Se 2.94-3.07, 1 Te 3.11
Te: 0.0000 0.5000 0.0000 x2  6 Ce 3.08-3.11
P: 0.1686 0.0000 0.3355 x4  6 Ce 2.89-2.92
Se: 0.0000 0.5000 0.5000 x2  6 Ce 2.90-3.05
Se: 0.1621 0.0000 0.8324 x4  6 Ce 2.94-3.07

No. 12
A geometry-optimized Ce6Te3PSe2 structure. Source: the Alexandria database, functional PBE.

a b c (Å): 7.4269 12.8619 7.6079
angles (deg): 90.00 108.98 90.00
Last column: nearest neighbours and their distance in Å.
Space group C2/m (No. 12)
Inequivalent atoms, fractional coordinates:
Ce: 0.2346 0.1617 0.2195 x8  1 P 2.87, 2 Se 2.97-2.98, 2 Te 3.17
Ce: 0.2485 0.0000 0.7774 x4  1 P 2.88, 2 Se 2.98, 2 Te 3.18
Te: 0.0000 0.1703 0.5000 x4  6 Ce 3.17-3.22
Te: 0.0000 0.5000 0.5000 x2  6 Ce 3.17-3.24
P: 0.0000 0.0000 0.0000 x2  6 Ce 2.87-2.88
Se: 0.0000 0.3341 0.0000 x4  6 Ce 2.97-2.98

No. 13
A geometry-optimized Ce4Te2PSe structure. Source: the Alexandria database, functional PBE.

a b c (Å): 7.4094 4.2624 7.6175
angles (deg): 90.00 108.77 90.00
Last column: nearest neighbours and their distance in Å.
Space group P2/m (No. 10)
Inequivalent atoms, fractional coordinates:
Ce: 0.2305 0.0000 0.2166 x2  2 P 2.89, 1 Se 2.97, 3 Te 3.15-3.23
Ce: 0.2507 0.5000 0.7789 x2  1 P 2.88, 2 Se 2.96, 2 Te 3.16
Te: 0.0000 0.0000 0.5000 x1  6 Ce 3.15-3.16
Te: 0.5000 0.5000 0.5000 x1  6 Ce 3.23
P: 0.0000 0.5000 0.0000 x1  6 Ce 2.88-2.89
Se: 0.5000 0.0000 0.0000 x1  6 Ce 2.96-2.97

No. 14
A geometry-optimized Ce8Te4P3Se structure. Source: the Alexandria database, functional PBE.

a b c (Å): 8.4954 8.4954 21.6638
angles (deg): 90.00 90.00 120.00
Last column: nearest neighbours and their distance in Å.
Space group R-3m (No. 166, hexagonal axes)
Inequivalent atoms, fractional coordinates:
Ce: 0.0000 0.0000 0.2380 x6  3 P 2.90, 3 Te 3.21
Ce: 0.0080 0.5040 0.7609 x18  2 P 2.89, 1 Se 2.96, 3 Te 3.15-3.21
Te: 0.0000 0.0000 0.0000 x3  6 Ce 3.15
Te: 0.0000 0.5000 0.0000 x9  6 Ce 3.21
P: 0.0000 0.5000 0.5000 x9  6 Ce 2.89-2.90
Se: 0.0000 0.0000 0.5000 x3  6 Ce 2.96

No. 15
A geometry-optimized Ce8Te4PSe3 structure. Source: the Alexandria database, functional PBE.

a b c (Å): 8.5854 8.5854 21.5962
angles (deg): 90.00 90.00 120.00
Last column: nearest neighbours and their distance in Å.
Space group R-3m (No. 166, hexagonal axes)
Inequivalent atoms, fractional coordinates:
Ce: 0.0000 0.0000 0.2418 x6  3 Se 2.96, 3 Te 3.17
Ce: 0.0094 0.5047 0.2400 x18  1 P 2.88, 2 Se 2.97, 2 Te 3.17
Te: 0.0000 0.0000 0.0000 x3  6 Ce 3.25
Te: 0.0000 0.5000 0.0000 x9  6 Ce 3.17
P: 0.0000 0.0000 0.5000 x3  6 Ce 2.88
Se: 0.0000 0.5000 0.5000 x9  6 Ce 2.96-2.97

No. 16
A geometry-optimized Ce4TePSe2 structure. Source: the Alexandria database, functional PBE.

a b c (Å): 7.3169 4.2253 7.4538
angles (deg): 90.00 109.15 90.00
Last column: nearest neighbours and their distance in Å.
Space group P2/m (No. 10)
Inequivalent atoms, fractional coordinates:
Ce: 0.2425 0.0000 0.2278 x2  3 Se 2.92-3.10, 1 P 2.92, 2 Te 3.10
Ce: 0.2564 0.5000 0.7704 x2  3 Se 2.92-3.09, 2 P 2.93, 1 Te 3.10
Te: 0.5000 0.5000 0.5000 x1  6 Ce 3.10
P: 0.5000 0.0000 0.0000 x1  6 Ce 2.92-2.93
Se: 0.0000 0.0000 0.5000 x1  6 Ce 3.09-3.10
Se: 0.0000 0.5000 0.0000 x1  6 Ce 2.92

No. 17
A geometry-optimized Ce6Te3P2Se structure. Source: the Alexandria database, functional PBE.

a b c (Å): 18.9424 4.2497 8.7423
angles (deg): 90.00 105.18 90.00
Last column: nearest neighbours and their distance in Å.
Space group C2/m (No. 12)
Inequivalent atoms, fractional coordinates:
Ce: 0.0107 0.0000 0.2412 x4  1 P 2.87, 2 Se 2.96, 3 Te 3.15-3.20
Ce: 0.1637 0.5000 0.1087 x4  2 P 2.89, 1 Se 3.00, 3 Te 3.17-3.21
Ce: 0.1748 0.5000 0.5638 x4  3 P 2.88-2.90, 3 Te 3.21-3.22
Te: 0.0000 0.5000 0.5000 x2  6 Ce 3.15-3.21
Te: 0.1642 0.0000 0.8332 x4  6 Ce 3.17-3.22
P: 0.1676 0.0000 0.3345 x4  6 Ce 2.87-2.90
Se: 0.0000 0.5000 0.0000 x2  6 Ce 2.96-3.00

No. 18
A geometry-optimized CeTmPSe structure. Source: the Alexandria database, functional PBE.

a b c (Å): 4.0457 4.0457 20.2638
angles (deg): 90.00 90.00 120.00
Last column: nearest neighbours and their distance in Å.
Space group R3m (No. 160, hexagonal axes)
Inequivalent atoms, fractional coordinates:
Ce: 0.0000 0.0000 0.0000 x3  3 P 2.86, 3 Se 3.01
Tm: 0.0000 0.0000 0.4875 x3  3 P 2.76, 3 Se 2.91
P: 0.0000 0.0000 0.7482 x3  3 Tm 2.76, 3 Ce 2.86
Se: 0.0000 0.0000 0.2395 x3  3 Tm 2.91, 3 Ce 3.01

No. 19
A geometry-optimized CeYPSe structure. Source: the Alexandria database, functional PBE.

a b c (Å): 4.0825 4.0825 20.3918
angles (deg): 90.00 90.00 120.00
Last column: nearest neighbours and their distance in Å.
Space group R3m (No. 160, hexagonal axes)
Inequivalent atoms, fractional coordinates:
Ce: 0.0000 0.0000 0.0000 x3  3 P 2.86, 3 Se 3.01
Y: 0.0000 0.0000 0.5122 x3  3 P 2.81, 3 Se 2.95
P: 0.0000 0.0000 0.2535 x3  3 Y 2.81, 3 Ce 2.86
Se: 0.0000 0.0000 0.7586 x3  3 Y 2.95, 3 Ce 3.01

No. 20
A geometry-optimized CeSiP3 structure. Source: the Alexandria database, functional PBE.

a b c (Å): 5.8481 11.8150 5.7045
angles (deg): 90.00 90.00 90.00
Last column: nearest neighbours and their distance in Å.
Space group Pnma (No. 62)
Inequivalent atoms, fractional coordinates:
Ce: 0.0000 0.0000 0.0000 x4  6 P 2.83-2.95
Si: 0.1330 0.2500 0.3769 x4  4 P 2.24-2.33
P: 0.0019 0.2500 0.0072 x4  2 Si 2.24-2.26
P: 0.0531 0.5908 0.4752 x8  1 P 2.25, 1 Si 2.33

Polymorph energy (0 for the lowest one): 115.4 meV per atom

No. 21
A geometry-optimized Ce6Si3P structure. Source: the Alexandria database, functional PBE.

a b c (Å): 10.2580 6.5791 7.2032
angles (deg): 90.00 101.03 90.00
Last column: nearest neighbours and their distance in Å.
Space group C2/m (No. 12)
Inequivalent atoms, fractional coordinates:
Ce: 0.1332 0.2102 0.3498 x8  1 P 2.69, 2 Ce 2.77-2.95, 1 Si 2.97
Ce: 0.1421 0.5000 0.8867 x4  1 P 2.89, 1 Si 3.08
Si: 0.0000 0.0000 0.0000 x2  2 Si 2.62
Si: 0.1493 0.0000 0.7434 x4  1 Si 2.62
P: 0.0000 0.5000 0.5000 x2  6 Ce 2.69-2.89

No. 22
A geometry-optimized Ce2SiP5 structure. Source: the Alexandria database, functional PBE.

a b c (Å): 6.0647 6.0647 7.9301
angles (deg): 90.00 90.00 90.00
Last column: nearest neighbours and their distance in Å.
Space group I4mm (No. 107)
Inequivalent atoms, fractional coordinates:
Ce: 0.0000 0.5000 0.0000 x4  10 P 2.92-3.05, 2 Si 3.16
Si: 0.0000 0.0000 0.3879 x2  4 P 2.42
P: 0.0000 0.0000 0.9597 x2  4 P 2.71
P: 0.2486 0.2486 0.7496 x8  1 Si 2.42, 1 P 2.71

No. 23
A geometry-optimized Ce2SiP structure. Source: the Alexandria database, functional PBE.

a b c (Å): 4.2554 22.8775 3.9697
angles (deg): 90.00 90.00 90.00
Last column: nearest neighbours and their distance in Å.
Space group Cmcm (No. 63)
Inequivalent atoms, fractional coordinates:
Ce: 0.0000 0.0672 0.2500 x4  1 P 2.79, 4 Si 3.01
Ce: 0.0000 0.3134 0.2500 x4  5 P 2.84-2.91
Si: 0.0000 0.4658 0.2500 x4  2 Si 2.53
P: 0.0000 0.1893 0.2500 x4  6 Ce 2.79-2.91

Polymorph energy (0 for the lowest one): 0.0 meV per atom

no.,formation energy without anion corrections (eV/atom),spin magnetization (μB/f.u.),energy (eV per atom)
1,-1.635,1.74,-6.83
2,-1.622,2.17,-6.97
3,-0.427,0.41,-4.61
4,-1.598,2.88,-7.03
5,-1.762,3.30,-6.71
6,-1.516,1.46,-6.37
7,-1.451,3.08,-6.64
8,-1.533,4.61,-6.72
9,-1.742,0.87,-6.63
10,-1.743,0.90,-6.61
11,-1.642,5.50,-6.64
12,-1.553,5.87,-6.34
13,-1.533,3.81,-6.40
14,-1.501,7.34,-6.49
15,-1.560,7.85,-6.30
16,-1.616,3.67,-6.52
17,-1.512,5.60,-6.46
18,-1.716,0.95,-6.54
19,-1.745,0.93,-7.07
20,-0.562,0.33,-6.08
21,-0.468,3.88,-6.20
22,-0.584,0.00,-6.13
23,-1.042,1.48,-6.72